Model a:
Material: TmPuTc2
Method: DFT, GGA-PBE
State: relaxed

Size of the total moment in μB/cell: 3.15

Cell and atoms, written as extended XYZ:
```
4
Lattice="0.000 3.364 3.364 3.364 0.000 3.364 3.364 3.364 0.000" Properties=species:S:1:pos:R:3 pbc="T T T"
Tm 0.000 0.000 0.000
Pu 3.364 3.364 3.364
Tc 1.682 1.682 1.682
Tc 5.046 5.046 5.046
```



Model b:
Material: TmPuTc2
Method: DFT, GGA-PBE
State: relaxed

Size of the total moment in μB/cell: 3.01

Cell and atoms, written as extended XYZ:
```
4
Lattice="3.349 0.000 0.000 0.000 3.349 0.000 0.000 0.000 6.855" Properties=species:S:1:pos:R:3 pbc="T T T"
Tm 0.000 0.000 0.000
Pu 0.000 0.000 3.427
Tc 1.674 1.674 1.906
Tc 1.674 1.674 4.949
```



Which one sits at the bottom of the stability order? model a does.



Model a:
Material: Pu2UTc
Method: DFT, GGA-PBE
State: relaxed

Size of the total moment in μB/cell: 9.15

Cell and atoms, written as extended XYZ:
```
4
Lattice="3.359 0.000 0.000 0.000 3.359 0.000 0.000 0.000 7.022" Properties=species:S:1:pos:R:3 pbc="T T T"
Pu 0.000 0.000 1.663
Pu 0.000 0.000 5.359
U 1.680 1.680 3.511
Tc 1.680 1.680 0.000
```



Model b:
Material: Pu2UTc
Method: DFT, GGA-PBE
State: relaxed

Size of the total moment in μB/cell: 5.58

Cell and atoms, written as extended XYZ:
```
4
Lattice="1.747 1.009 7.968 -1.747 1.009 7.968 0.000 -2.018 7.968" Properties=species:S:1:pos:R:3 pbc="T T T"
Pu 0.000 0.000 2.396
Pu 0.000 0.000 21.509
U 0.000 0.000 11.952
Tc 0.000 0.000 0.000
```



Model c:
Material: Pu2UTc
Method: DFT, GGA-PBE
State: relaxed

Size of the total moment in μB/cell: 19.12

Cell and atoms, written as extended XYZ:
```
8
Lattice="1.568 -6.000 0.000 1.568 6.000 0.000 0.000 0.000 8.330" Properties=species:S:1:pos:R:3 pbc="T T T"
Pu 1.568 4.593 4.444
Pu 1.568 4.593 8.051
Pu 1.568 -4.593 0.279
Pu 1.568 -4.593 3.886
U 1.568 3.123 2.083
U 1.568 -3.123 6.248
Tc 1.568 0.381 6.248
Tc 1.568 -0.381 2.083
```



Which one sits at the bottom of the stability order? model b does.



Model a:
Material: PuTcW
Method: DFT, GGA-PBE
State: relaxed

Size of the total moment in μB/cell: 4.85

Cell and atoms, written as extended XYZ:
```
3
Lattice="-1.557 1.557 5.701 1.557 -1.557 5.701 1.557 1.557 -5.701" Properties=species:S:1:pos:R:3 pbc="T T T"
Pu 0.000 0.000 0.000
Tc 0.000 0.000 7.829
W 0.000 0.000 3.539
```



Model b:
Material: PuTcW
Method: DFT, GGA-PBE
State: relaxed

Size of the total moment in μB/cell: 8.63

Cell and atoms, written as extended XYZ:
```
6
Lattice="4.825 -2.289 0.000 4.825 2.289 0.000 -3.295 0.000 4.717" Properties=species:S:1:pos:R:3 pbc="T T T"
Pu -0.783 0.000 1.246
Pu 7.139 0.000 3.471
Tc 1.715 0.000 1.959
Tc 4.641 0.000 2.758
W 0.124 0.000 4.404
W 6.232 0.000 0.313
```



Which one sits at the bottom of the stability order? model b does.